K4Pu3NiO12 | PBE+U | optimized geometry

Values from the calculation:
SG: Im-3m (229)
N(E_F): 3.70 states/eV per cell
Spin magnetization: 0.4000 μB/atom
E: -7.7204 eV per atom

abc: 7.2903 7.2903 7.2903
angles: 109.47 109.47 109.47
Last column: nearest neighbours and their distance in Å.
Fractional coordinates of all 20 atoms:
O 0.0000 0.7355 0.7355  1 Pu 1.98
O 0.2500 0.5000 0.7500  2 Pu 2.10
O 0.7500 0.2500 0.5000  2 Pu 2.10
O 0.5000 0.7500 0.2500  2 Pu 2.10
Pu 0.5000 0.5000 0.0000  6 O 1.98-2.10
K 0.5000 0.5000 0.5000  12 O 2.98
Pu 0.0000 0.5000 0.5000  6 O 1.98-2.10
O 0.2500 0.7500 0.5000  2 Pu 2.10
K 0.0000 0.0000 0.5000  12 O 2.98
O 0.5000 0.2500 0.7500  2 Pu 2.10
O 0.7355 0.0000 0.7355  1 Pu 1.98
K 0.5000 0.0000 0.0000  12 O 2.98
Pu 0.5000 0.0000 0.5000  6 O 1.98-2.10
O 0.7500 0.5000 0.2500  2 Pu 2.10
K 0.0000 0.5000 0.0000  12 O 2.98
O 0.2645 0.0000 0.2645  1 Pu 1.98
Ni 0.0000 0.0000 0.0000  6 O 2.23
O 0.2645 0.2645 0.0000  1 Pu 1.98
O 0.7355 0.7355 0.0000  1 Pu 1.98
O 0.0000 0.2645 0.2645  1 Pu 1.98